AlCd2MoO6: relaxed, GGA+U.

M_tot = 0.09 μB per atom
raw total energy = -5.790 eV/atom
D(E_F) = 0.8 states/eV/cell

The structure in CIF format:
```
data_AlCd2MoO6
_chemical_formula_sum 'Al1 Cd2 Mo1 O6'
_symmetry_space_group_name_H-M 'P 4 m m'
_symmetry_Int_Tables_number 99
_symmetry_space_group_name_Hall 'P 4 -2'
_cell_length_a 5.185
_cell_length_b 5.185
_cell_length_c 4.845
_cell_angle_alpha 90.00
_cell_angle_beta 90.00
_cell_angle_gamma 90.00
loop_
_atom_site_label
_atom_site_type_symbol
_atom_site_fract_x
_atom_site_fract_y
_atom_site_fract_z
_atom_site_occupancy
Al1 Al 0.000 0.000 0.000 1
Cd1 Cd 0.000 0.500 0.427 1
Mo1 Mo 0.500 0.500 0.982 1
O1 O 0.000 0.000 0.630 1
O2 O 0.247 0.247 0.118 1
O3 O 0.500 0.500 0.612 1
```